Entry 1:
# Hg3RhW | Alexandria via LeMat-Bulk | GGA-PBEsol | optimized geometry
# Energy relative to the elements, eV/atom: 1.574
# N(E_F), states/eV per cell: 3.70
data_Hg3RhW
_cell_length_a 5.034
_cell_length_b 5.034
_cell_length_c 5.034
_cell_angle_alpha 90.00
_cell_angle_beta 90.00
_cell_angle_gamma 90.00
_space_group_name_H-M_alt 'P 1'
_space_group_IT_number 1
loop_
_space_group_symop_operation_xyz
'x,y,z'
loop_
_atom_site_label
_atom_site_fract_x
_atom_site_fract_y
_atom_site_fract_z
Hg1 0.000 0.000 0.500
Hg2 0.000 0.500 0.000
Hg3 0.500 0.000 0.000
Rh1 0.000 0.000 0.000
W1 0.500 0.500 0.500

=====

Entry 2:
# HgRhW | Alexandria via LeMat-Bulk | GGA-PBEsol | optimized geometry
# Energy relative to the elements, eV/atom: 0.423
# N(E_F), states/eV per cell: 1.57
data_HgRhW
_cell_length_a 4.473
_cell_length_b 4.473
_cell_length_c 2.798
_cell_angle_alpha 90.00
_cell_angle_beta 90.00
_cell_angle_gamma 120.00
_space_group_name_H-M_alt 'P 1'
_space_group_IT_number 1
loop_
_space_group_symop_operation_xyz
'x,y,z'
loop_
_atom_site_label
_atom_site_fract_x
_atom_site_fract_y
_atom_site_fract_z
Hg1 0.000 0.000 0.000
Rh1 0.333 0.667 0.345
W1 0.667 0.333 0.525

=====

Entry 3:
# HgRh2W | Alexandria via LeMat-Bulk | GGA-PBEsol | optimized geometry
# Energy relative to the elements, eV/atom: 0.158
# N(E_F), states/eV per cell: 5.72
data_HgRh2W
_cell_length_a 9.360
_cell_length_b 2.814
_cell_length_c 4.753
_cell_angle_alpha 90.00
_cell_angle_beta 100.90
_cell_angle_gamma 90.00
_space_group_name_H-M_alt 'P 1'
_space_group_IT_number 1
loop_
_space_group_symop_operation_xyz
'x,y,z'
loop_
_atom_site_label
_atom_site_fract_x
_atom_site_fract_y
_atom_site_fract_z
Hg1 0.000 0.000 0.000
Hg2 0.500 0.500 0.000
Rh1 0.000 0.500 0.494
Rh2 0.245 0.000 0.776
Rh3 0.500 0.000 0.494
Rh4 0.745 0.500 0.776
W1 0.261 0.500 0.308
W2 0.761 0.000 0.308

=====

no.,magnetic moment (μB/f.u.)
1,5.01
2,0.00
3,0.00